Below is a relaxed structure of In4Os, with properties calculated at the PBE level.

a b c (Å): 5.4274 5.4274 5.4274
angles (deg): 98.49 98.49 134.82
Last column: nearest neighbours and their distance in Å.
Positions (direct):
In  0.2124  0.6047  0.8171  8 In 2.98-3.16, 3 Os 3.01-3.18
In  0.6047  0.7876  0.3923  8 In 2.98-3.16, 3 Os 3.01-3.18
In  0.3953  0.2124  0.6077  8 In 2.98-3.16, 3 Os 3.01-3.18
In  0.7876  0.3953  0.1829  8 In 2.98-3.16, 3 Os 3.01-3.18
Os  0.0000  0.0000  0.0000  12 In 3.01-3.18

Values from the calculation:
D(E_F): 0.5596 states/eV/atom
formation energy: 0.425 eV/atom
space-group type: No. 87
energy relative to the lowest polymorph listed for this composition: 0.274 eV/atom

---

Below is a relaxed structure of Y2Au2Br, with properties calculated at the PBE level.

a b c (Å): 8.0357 8.0357 3.9029
angles (deg): 90.00 90.00 90.00
Last column: nearest neighbours and their distance in Å.
Positions (direct):
Y  0.8339  0.6661  0.0000  2 Br 3.00, 6 Au 3.05-3.08
Y  0.1661  0.3339  0.0000  2 Br 3.00, 6 Au 3.05-3.08
Y  0.3339  0.8339  0.0000  2 Br 3.00, 6 Au 3.05-3.08
Y  0.6661  0.1661  0.0000  2 Br 3.00, 6 Au 3.05-3.08
Br  0.5000  0.5000  0.0000  4 Y 3.00
Br  0.0000  0.0000  0.0000  4 Y 3.00
Au  0.1280  0.6280  0.5000  1 Au 2.91, 6 Y 3.05-3.08
Au  0.3720  0.1280  0.5000  1 Au 2.91, 6 Y 3.05-3.08
Au  0.8720  0.3720  0.5000  1 Au 2.91, 6 Y 3.05-3.08
Au  0.6280  0.8720  0.5000  1 Au 2.91, 6 Y 3.05-3.08

Values from the calculation:
D(E_F): 0.6702 states/eV/atom
space-group type: No. 127
energy relative to the lowest polymorph listed for this composition: 0.000 eV/atom

---

Below is a relaxed structure of TbNiHgRh, with properties calculated at the PBE level.

a b c (Å): 4.6727 4.6727 4.6727
angles (deg): 60.00 60.00 60.00
Last column: nearest neighbours and their distance in Å.
Positions (direct):
Hg  0.5000  0.5000  0.5000  4 Ni 2.86, 4 Rh 2.86
Rh  0.7500  0.7500  0.7500  4 Hg 2.86, 4 Tb 2.86
Tb  0.0000  0.0000  0.0000  4 Ni 2.86, 4 Rh 2.86
Ni  0.2500  0.2500  0.2500  4 Hg 2.86, 4 Tb 2.86

Values from the calculation:
D(E_F): 0.5654 states/eV/atom
formation energy: -0.341 eV/atom
space-group type: No. 216